No. 1
A geometry-optimized Li2La2Mg5Sc structure, computed with GGA-PBE.

The structure in extended XYZ format:
```
20
Lattice="-1.0666 1.8920 3.6864 -9.7429 2.6636 -4.1859 -4.1459 -9.4378 3.6443" Properties=species:S:1:pos:R:3 pbc="T T T"
Mg -9.2614 -1.3653 0.5041
Mg -10.5913 1.5101 -1.3564
Mg -2.6062 -3.7729 3.6653
Mg -4.3640 -6.3923 4.5011
Mg -5.6939 -3.5169 2.6406
Mg -5.4047 2.2778 -0.2498
Mg -2.7783 0.9716 1.1805
Mg -8.8769 -4.2442 2.0930
Mg -6.0784 -0.6380 1.0518
Mg -12.1770 -5.8538 1.9643
Li -10.2127 -1.2734 -2.3013
Li -9.6634 -6.7091 0.6475
Li -4.2254 -0.0650 -1.1891
Li -3.6761 -5.5008 1.7596
La -7.4054 0.0959 -2.1918
La -3.0941 -2.5110 0.3935
La -6.4834 -6.8700 1.6501
La -10.7947 -4.2631 -0.9352
Sc 0.0000 0.0000 0.0000
Sc -6.9444 -3.3871 -0.2708
```

final energy = -2.83 eV/atom
ΔH_f (0 K) = -0.3 eV/f.u.
magnetization = 0.000 Bohr magnetons per cell

***

No. 2
A geometry-optimized LiLa2MgSe4 structure, computed with GGA-PBE.

The structure in extended XYZ format:
```
8
Lattice="4.1715 0.0000 0.0000 0.0000 7.0910 -0.1233 0.0000 2.5104 6.7475" Properties=species:S:1:pos:R:3 pbc="T T T"
Se 2.0858 5.7692 1.6697
Se 4.1715 2.5599 1.6312
Se 0.0001 7.0416 4.9930
Se 2.0858 3.8323 4.9545
Mg 0.0000 4.8007 3.3121
La 0.0000 2.5104 6.7475
La 2.0858 1.2552 3.3737
Li 2.0858 6.0559 6.6858
```

final energy = -5.03 eV/atom
magnetization = 0.000 Bohr magnetons per cell
uncorrected formation energy = -12.93 eV/f.u.

***

No. 3
A geometry-optimized LiLaMgSi structure, computed with GGA-PBE.

The structure in extended XYZ format:
```
4
Lattice="-1.7177 -1.0798 4.5308 -2.5177 -4.2101 0.7618 2.0547 -3.6812 2.6213" Properties=species:S:1:pos:R:3 pbc="T T T"
Mg -1.0904 -4.4855 3.9569
La 0.0000 0.0000 0.0000
Si -1.6356 -6.7283 5.9354
Li -0.5452 -2.2428 1.9785
```

final energy = -3.72 eV/atom
magnetization = 0.000 Bohr magnetons per cell
uncorrected formation energy = -1.04 eV/f.u.

***

No. 4
A geometry-optimized LiLaMgSn2 structure, computed with GGA-PBE.

The structure in extended XYZ format:
```
5
Lattice="-1.1508 -4.1786 1.3729 0.2985 -1.4900 -4.2850 6.4681 1.4650 2.3531" Properties=species:S:1:pos:R:3 pbc="T T T"
Sn 4.6720 -1.0588 0.6937
Sn 0.9438 -3.1448 -1.2526
Mg 2.4455 -2.7740 1.1350
Li 3.1702 -1.4297 -1.6940
La 0.0000 0.0000 0.0000
```

final energy = -3.81 eV/atom
ΔH_f (0 K) = -2.6 eV/f.u.
magnetization = 0.000 Bohr magnetons per cell
relative energy among the computed polymorphs = 0 meV/atom

***

No. 5
A geometry-optimized LiLaMgSn2 structure, computed with GGA-PBE.

The structure in extended XYZ format:
```
5
Lattice="-0.0084 -4.0005 3.0052 4.2062 1.8971 2.5370 -3.0101 2.4046 3.1925" Properties=species:S:1:pos:R:3 pbc="T T T"
Li 0.0000 0.0000 0.0000
Sn -0.0042 -2.0002 1.5026
Sn -1.5051 1.2023 1.5963
Mg 0.5938 0.1506 4.3674
La 2.1031 0.9485 1.2685
```

final energy = -3.35 eV/atom
ΔH_f (0 K) = -0.3 eV/f.u.
magnetization = 0.000 Bohr magnetons per cell
relative energy among the computed polymorphs = 467 meV/atom

***

No. 6
A geometry-optimized Li2La3Mg2Sn4 structure, computed with GGA-PBE.

The structure in extended XYZ format:
```
11
Lattice="-1.2659 -4.0564 2.3259 -1.1170 0.5573 -4.6807 13.2730 -6.3950 -3.9288" Properties=species:S:1:pos:R:3 pbc="T T T"
Sn 7.1331 -6.5413 -2.4810
Sn 0.4331 -3.3132 -0.4978
Sn 10.4570 -6.5809 -5.7857
Sn 3.7570 -3.3528 -3.8025
Mg 4.5260 -5.2852 -1.7093
Mg 6.3641 -4.6089 -4.5742
La 0.0000 0.0000 0.0000
La 9.7387 -4.6921 -2.8826
La 3.5343 -1.7028 -1.0461
Li 10.2454 -8.0408 -3.4022
Li 0.6447 -1.8533 -2.8813
```

final energy = -4.01 eV/atom
ΔH_f (0 K) = -6.3 eV/f.u.
magnetization = 0.000 Bohr magnetons per cell